Density functional theory data (PBE-GGA) for a relaxed PmAl4Pt2Rh crystal.

Unit cell a=4.2604 b=4.2604 c=9.2334 alpha=76.66 beta=76.66 gamma=60.00
Positions (direct):
Pm 0.0000 0.0000 0.0000
Al 0.4041 0.4041 0.7877
Al 0.8665 0.8665 0.4004
Al 0.1335 0.1335 0.5996
Al 0.5959 0.5959 0.2123
Pt 0.7668 0.7668 0.6997
Pt 0.2332 0.2332 0.3003
Rh 0.5000 0.5000 0.5000

Properties
calculated formation energy = -0.948 eV/atom

***

Density functional theory data (PBE-GGA) for a relaxed Pm2AlSbPt6 crystal.

Unit cell a=6.6381 b=6.5997 c=6.6415 alpha=87.35 beta=49.16 gamma=107.50
Positions (direct):
Pm 0.2481 0.7492 0.4999
Pm 0.7519 0.2508 0.5001
Al 0.5000 0.5000 0.0000
Sb 0.0000 0.0000 0.0000
Pt 0.1922 0.6772 0.0099
Pt 0.7386 0.9162 0.8257
Pt 0.3114 0.3217 0.4853
Pt 0.8078 0.3228 0.9901
Pt 0.2614 0.0838 0.1743
Pt 0.6886 0.6783 0.5147

***

Density functional theory data (PBE-GGA) for a relaxed PmScAlPt2 crystal.

Unit cell a=4.1552 b=4.1552 c=6.6929 alpha=108.08 beta=108.08 gamma=90.00
Positions (direct):
Pm 0.0000 0.0000 0.0000
Sc 0.2500 0.7500 0.5000
Al 0.7500 0.2500 0.5000
Pt 0.6131 0.6131 0.2261
Pt 0.3869 0.3869 0.7739

Properties
calculated formation energy = -1.095 eV/atom

***

Density functional theory data (PBE-GGA) for a relaxed Pm2ScAl3Pt4 crystal.

Unit cell a=4.3115 b=4.3115 c=10.6980 alpha=90.00 beta=90.00 gamma=90.00
Positions (direct):
Pm 0.5000 0.0000 0.2354
Pm 0.0000 0.5000 0.7646
Sc 0.5000 0.5000 0.5000
Al 0.0000 0.0000 0.5000
Al 0.5000 0.0000 0.8784
Al 0.0000 0.5000 0.1216
Pt 0.5000 0.5000 0.0000
Pt 0.0000 0.0000 0.0000
Pt 0.5000 0.0000 0.6453
Pt 0.0000 0.5000 0.3547

Properties
calculated formation energy = -1.102 eV/atom

***

Density functional theory data (PBE-GGA) for a relaxed Pm2ScAl2Pt5 crystal.

Unit cell a=3.6799 b=10.1359 c=10.1359 alpha=90.00 beta=90.00 gamma=90.00
Positions (direct):
Pm 0.0000 0.6768 0.1768
Pm 0.0000 0.3232 0.8232
Pm 0.0000 0.1768 0.3232
Pm 0.0000 0.8232 0.6768
Sc 0.0000 0.0000 0.0000
Sc 0.0000 0.5000 0.5000
Al 0.0000 0.1217 0.6217
Al 0.0000 0.8783 0.3783
Al 0.0000 0.6217 0.8783
Al 0.0000 0.3783 0.1217
Pt 0.5000 0.2091 0.0626
Pt 0.5000 0.7909 0.9374
Pt 0.5000 0.0626 0.7909
Pt 0.5000 0.7091 0.4374
Pt 0.5000 0.9374 0.2091
Pt 0.5000 0.2909 0.5626
Pt 0.5000 0.5626 0.7091
Pt 0.5000 0.4374 0.2909
Pt 0.5000 0.5000 0.0000
Pt 0.5000 0.0000 0.5000

Properties
calculated formation energy = -1.069 eV/atom

***

Density functional theory data (PBE-GGA) for a relaxed Pm2AlSi4Pt3 crystal.

Unit cell a=4.1825 b=4.1825 c=10.2468 alpha=90.00 beta=90.00 gamma=90.00
Positions (direct):
Pm 0.5000 0.0000 0.2448
Pm 0.0000 0.5000 0.7552
Al 0.5000 0.5000 0.5000
Si 0.5000 0.5000 0.0000
Si 0.0000 0.0000 0.0000
Si 0.5000 0.0000 0.6430
Si 0.0000 0.5000 0.3570
Pt 0.0000 0.0000 0.5000
Pt 0.5000 0.0000 0.8787
Pt 0.0000 0.5000 0.1213

***

Density functional theory data (PBE-GGA) for a relaxed Pm2Al3SiPt4 crystal.

Unit cell a=4.2791 b=4.2791 c=10.2289 alpha=90.00 beta=90.00 gamma=90.00
Positions (direct):
Pm 0.5000 0.0000 0.2562
Pm 0.0000 0.5000 0.7438
Al 0.0000 0.0000 0.5000
Al 0.5000 0.0000 0.8695
Al 0.0000 0.5000 0.1305
Si 0.5000 0.5000 0.5000
Pt 0.5000 0.5000 0.0000
Pt 0.0000 0.0000 0.0000
Pt 0.5000 0.0000 0.6262
Pt 0.0000 0.5000 0.3738

***

Density functional theory data (PBE-GGA) for a relaxed PmAlSiPt2 crystal.

Unit cell a=4.2228 b=4.2228 c=6.0457 alpha=110.44 beta=110.44 gamma=90.00
Positions (direct):
Pm 0.0000 0.0000 0.0000
Al 0.2500 0.7500 0.5000
Si 0.7500 0.2500 0.5000
Pt 0.6282 0.6282 0.2565
Pt 0.3718 0.3718 0.7435

***

Density functional theory data (PBE-GGA) for a relaxed Pm3Al2SiPt9 crystal.

Unit cell a=6.5965 b=6.5965 c=8.3420 alpha=90.00 beta=90.00 gamma=120.00
Positions (direct):
Pm 0.3333 0.6667 0.7035
Pm 0.0000 0.0000 0.0000
Pm 0.6667 0.3333 0.2965
Al 0.3333 0.6667 0.1942
Al 0.6667 0.3333 0.8058
Si 0.0000 0.0000 0.5000
Pt 0.8599 0.1401 0.7107
Pt 0.8599 0.7199 0.7107
Pt 0.2801 0.1401 0.7107
Pt 0.7199 0.8599 0.2893
Pt 0.1401 0.2801 0.2893
Pt 0.1401 0.8599 0.2893
Pt 0.5000 0.0000 0.0000
Pt 0.0000 0.5000 0.0000
Pt 0.5000 0.5000 0.0000

***

Density functional theory data (PBE-GGA) for a relaxed PmAlSi2Pt5 crystal.

Unit cell a=4.0605 b=4.0605 c=10.3977 alpha=90.00 beta=90.00 gamma=90.00
Positions (direct):
Pm 0.0000 0.0000 0.5000
Al 0.0000 0.0000 0.0000
Si 0.5000 0.5000 0.2746
Si 0.5000 0.5000 0.7254
Pt 0.0000 0.5000 0.1526
Pt 0.5000 0.0000 0.1526
Pt 0.0000 0.5000 0.8474
Pt 0.5000 0.0000 0.8474
Pt 0.5000 0.5000 0.5000

***

Density functional theory data (PBE-GGA) for a relaxed PmAlSiPt3 crystal.

Unit cell a=5.6042 b=6.8837 c=6.9121 alpha=119.86 beta=90.00 gamma=90.00
Positions (direct):
Pm 0.7500 0.2897 0.5795
Pm 0.2500 0.7103 0.4205
Al 0.2500 0.9728 0.9455
Al 0.7500 0.0272 0.0545
Si 0.2500 0.3793 0.7585
Si 0.7500 0.6207 0.2415
Pt 0.2500 0.1856 0.3712
Pt 0.0000 0.2943 0.0000
Pt 0.5000 0.7057 0.0000
Pt 0.5000 0.2943 0.0000
Pt 0.0000 0.7057 0.0000
Pt 0.7500 0.8144 0.6288

***

Density functional theory data (PBE-GGA) for a relaxed Pm3Al2SnPt9 crystal.

Unit cell a=5.6743 b=5.6743 c=11.9947 alpha=90.00 beta=90.00 gamma=120.00
Positions (direct):
Pm 0.3333 0.6667 0.7680
Pm 0.0000 0.0000 0.0000
Pm 0.6667 0.3333 0.2320
Al 0.3333 0.6667 0.1614
Al 0.6667 0.3333 0.8386
Sn 0.0000 0.0000 0.5000
Pt 0.8344 0.1656 0.6831
Pt 0.8344 0.6689 0.6831
Pt 0.3311 0.1656 0.6831
Pt 0.6689 0.8344 0.3169
Pt 0.1656 0.3311 0.3169
Pt 0.1656 0.8344 0.3169
Pt 0.5000 0.0000 0.0000
Pt 0.0000 0.5000 0.0000
Pt 0.5000 0.5000 0.0000

Properties
calculated formation energy = -0.827 eV/atom

***

Density functional theory data (PBE-GGA) for a relaxed Pm2AlSnPt6 crystal.

Unit cell a=6.7891 b=6.7305 c=5.4892 alpha=65.93 beta=66.12 gamma=79.75
Positions (direct):
Pm 0.2161 0.7067 0.5386
Pm 0.7839 0.2933 0.4614
Al 0.5000 0.5000 0.0000
Sn 0.0000 0.0000 0.0000
Pt 0.4125 0.9023 0.8445
Pt 0.7528 0.7260 0.0090
Pt 0.2489 0.2733 0.4885
Pt 0.5875 0.0977 0.1555
Pt 0.2472 0.2740 0.9910
Pt 0.7511 0.7267 0.5115

Properties
calculated formation energy = -0.828 eV/atom

***

Density functional theory data (PBE-GGA) for a relaxed Pm2Al4SnPt3 crystal.

Unit cell a=4.3091 b=4.3091 c=10.7385 alpha=90.00 beta=90.00 gamma=90.00
Positions (direct):
Pm 0.5000 0.0000 0.2403
Pm 0.0000 0.5000 0.7597
Al 0.5000 0.5000 0.0000
Al 0.0000 0.0000 0.0000
Al 0.5000 0.0000 0.6502
Al 0.0000 0.5000 0.3498
Sn 0.5000 0.5000 0.5000
Pt 0.0000 0.0000 0.5000
Pt 0.5000 0.0000 0.8759
Pt 0.0000 0.5000 0.1241

Properties
calculated formation energy = -0.956 eV/atom

***

Density functional theory data (PBE-GGA) for a relaxed Pm2TiAl4Pt3 crystal.

Unit cell a=4.2032 b=4.2032 c=11.0045 alpha=90.00 beta=90.00 gamma=90.00
Positions (direct):
Pm 0.5000 0.0000 0.2482
Pm 0.0000 0.5000 0.7518
Ti 0.5000 0.5000 0.5000
Al 0.5000 0.5000 0.0000
Al 0.0000 0.0000 0.0000
Al 0.5000 0.0000 0.6441
Al 0.0000 0.5000 0.3559
Pt 0.0000 0.0000 0.5000
Pt 0.5000 0.0000 0.8708
Pt 0.0000 0.5000 0.1292

Properties
calculated formation energy = -0.925 eV/atom

***

Density functional theory data (PBE-GGA) for a relaxed Pm2TiAl3Pt4 crystal.

Unit cell a=4.3072 b=4.3072 c=10.4174 alpha=90.00 beta=90.00 gamma=90.00
Each line ends with the local moment (μB).
Positions (direct):
Pm 0.5000 0.0000 0.2438  0.01
Pm 0.0000 0.5000 0.7562  0.01
Ti 0.5000 0.5000 0.5000  0.10
Al 0.0000 0.0000 0.5000  0.00
Al 0.5000 0.0000 0.8750  0.00
Al 0.0000 0.5000 0.1250  0.00
Pt 0.5000 0.5000 0.0000  0.00
Pt 0.0000 0.0000 0.0000  0.00
Pt 0.5000 0.0000 0.6368  0.00
Pt 0.0000 0.5000 0.3632  0.00

Properties
calculated formation energy = -1.064 eV/atom

***

Density functional theory data (PBE-GGA) for a relaxed Pm2TiAlPt6 crystal.

Unit cell a=5.7256 b=8.3140 c=8.3137 alpha=40.29 beta=69.86 gamma=90.00
Positions (direct):
Pm 0.2074 0.7926 0.5851
Pm 0.7926 0.2074 0.4149
Ti 0.5000 0.5000 0.0000
Al 0.0000 0.0000 0.0000
Pt 0.2495 0.7505 0.9975
Pt 0.7531 0.7504 0.9975
Pt 0.2495 0.2470 0.5010
Pt 0.7505 0.2495 0.0025
Pt 0.2469 0.2496 0.0025
Pt 0.7505 0.7530 0.4990

Properties
calculated formation energy = -0.831 eV/atom

***

Density functional theory data (PBE-GGA) for a relaxed Pm2TmAl3Pt4 crystal.

Unit cell a=4.3505 b=4.3505 c=10.8299 alpha=90.00 beta=90.00 gamma=90.00
Positions (direct):
Pm 0.5000 0.0000 0.2299
Pm 0.0000 0.5000 0.7701
Tm 0.5000 0.5000 0.5000
Al 0.0000 0.0000 0.5000
Al 0.5000 0.0000 0.8816
Al 0.0000 0.5000 0.1184
Pt 0.5000 0.5000 0.0000
Pt 0.0000 0.0000 0.0000
Pt 0.5000 0.0000 0.6522
Pt 0.0000 0.5000 0.3478

Properties
calculated formation energy = -1.081 eV/atom

***

Density functional theory data (PBE-GGA) for a relaxed PmYAlPt crystal.

Unit cell a=4.3347 b=3.9733 c=6.1027 alpha=90.00 beta=110.80 gamma=90.00
Positions (direct):
Pm 0.8457 0.5000 0.6913
Y 0.1361 0.0000 0.2721
Al 0.4365 0.0000 0.8731
Pt 0.5817 0.5000 0.1635

Properties
relative energy among the computed polymorphs = 0 meV/atom
calculated formation energy = -0.805 eV/atom

***

Density functional theory data (PBE-GGA) for a relaxed PmYAlPt crystal.

Unit cell a=5.1069 b=5.1069 c=5.1069 alpha=60.00 beta=60.00 gamma=60.00
Positions (direct):
Y 0.0000 0.0000 0.0000
Al 0.2500 0.2500 0.2500
Pt 0.7500 0.7500 0.7500
Pm 0.5000 0.5000 0.5000

Properties
relative energy among the computed polymorphs = 125 meV/atom
calculated formation energy = -0.681 eV/atom

***

Density functional theory data (PBE-GGA) for a relaxed Pm2Al3ZnPt4 crystal.

Unit cell a=4.3013 b=4.3013 c=10.3389 alpha=90.00 beta=90.00 gamma=90.00
Positions (direct):
Pm 0.5000 0.0000 0.2491
Pm 0.0000 0.5000 0.7509
Al 0.0000 0.0000 0.5000
Al 0.5000 0.0000 0.8748
Al 0.0000 0.5000 0.1252
Zn 0.5000 0.5000 0.5000
Pt 0.5000 0.5000 0.0000
Pt 0.0000 0.0000 0.0000
Pt 0.5000 0.0000 0.6364
Pt 0.0000 0.5000 0.3636

Properties
calculated formation energy = -1.039 eV/atom

***

Density functional theory data (PBE-GGA) for a relaxed PmAlZn2Pt crystal.

Unit cell a=3.9477 b=4.2861 c=6.3837 alpha=109.62 beta=108.01 gamma=90.00
Positions (direct):
Pm 0.4417 0.4417 0.8834
Al 0.1913 0.6913 0.3825
Zn 0.6969 0.1969 0.3938
Zn 0.0533 0.0533 0.1065
Pt 0.8290 0.8290 0.6580

Properties
calculated formation energy = -0.660 eV/atom

***

Density functional theory data (PBE-GGA) for a relaxed PmAlZn2Pt4 crystal.

Unit cell a=4.3571 b=4.3571 c=8.8190 alpha=75.70 beta=75.70 gamma=60.00
Positions (direct):
Pm 0.0000 0.0000 0.0000
Al 0.5000 0.5000 0.5000
Zn 0.7556 0.7556 0.7331
Zn 0.2444 0.2444 0.2669
Pt 0.4025 0.4025 0.7924
Pt 0.8663 0.8663 0.4011
Pt 0.1337 0.1337 0.5989
Pt 0.5975 0.5975 0.2076

Properties
calculated formation energy = -0.825 eV/atom

***

no.,E (eV/atom)
1,-5.8418
2,-6.1906
3,-6.4766
4,-6.2248
5,-6.4210
6,-6.3289
7,-6.1519
8,-6.2834
9,-6.1612
10,-6.3609
11,-6.2142
12,-6.1673
13,-6.1770
14,-5.6158
15,-5.9742
16,-6.3430
17,-6.5692
18,-6.0169
19,-6.0549
20,-5.9302
21,-5.6556
22,-4.0764
23,-5.2254